# 1
# TmTlNO

An optimized crystal structure of TmTlNO (PBE, OQMD via LeMat-Bulk).

Unit cell a=4.141 b=4.141 c=7.464 alpha=90.00 beta=90.00 gamma=90.00
Fractional positions:
N 0.000 0.500 0.313
N 0.500 0.000 0.687
O 0.000 0.000 0.000
O 0.500 0.500 0.000
Tl 0.000 0.000 0.500
Tl 0.500 0.500 0.500
Tm 0.500 0.000 0.109
Tm 0.000 0.500 0.891

The symmetry is P4/nmm, No. 129. Its final energy is -5.909 eV/atom.

***

# 2
# YHoNCl2

An optimized crystal structure of YHoNCl2 (PBE, OQMD via LeMat-Bulk).

Unit cell a=3.585 b=3.585 c=10.027 alpha=90.00 beta=90.00 gamma=120.00
Fractional positions:
Cl 0.333 0.667 0.195
Cl 0.000 0.000 0.807
Ho 0.000 0.000 0.371
N 0.667 0.333 0.497
Y 0.333 0.667 0.630

The symmetry is P3m1, No. 156. Its final energy is -6.584 eV/atom.

***

# 3
# Ag2TeO3

An optimized crystal structure of Ag2TeO3 (PBE, OQMD via LeMat-Bulk).

Unit cell a=6.981 b=10.532 c=4.901 alpha=90.00 beta=91.62 gamma=90.00
Fractional positions:
Ag 0.131 0.417 0.251
Ag 0.631 0.083 0.251
Ag 0.097 0.745 0.252
Ag 0.597 0.755 0.252
Ag 0.903 0.255 0.748
Ag 0.403 0.245 0.748
Ag 0.869 0.583 0.749
Ag 0.369 0.917 0.749
O 0.830 0.276 0.221
O 0.330 0.224 0.221
O 0.323 0.955 0.244
O 0.823 0.545 0.244
O 0.867 0.899 0.362
O 0.367 0.601 0.362
O 0.133 0.101 0.638
O 0.633 0.399 0.638
O 0.677 0.045 0.756
O 0.177 0.455 0.756
O 0.170 0.724 0.779
O 0.670 0.776 0.779
Te 0.643 0.410 0.247
Te 0.143 0.090 0.247
Te 0.357 0.590 0.753
Te 0.857 0.910 0.753

The symmetry is P2_1/c, No. 14. Its final energy is -4.492 eV/atom.

***

# 4
# Tb3In3CuNiAu

An optimized crystal structure of Tb3In3CuNiAu (PBE, OQMD via LeMat-Bulk).

Unit cell a=7.665 b=7.665 c=3.838 alpha=90.00 beta=90.00 gamma=120.00
Fractional positions:
Au 0.000 0.000 0.500
Cu 0.667 0.333 0.000
In 0.417 0.078 0.500
In 0.922 0.339 0.500
In 0.661 0.583 0.500
Ni 0.333 0.667 0.500
Tb 0.263 0.349 0.000
Tb 0.086 0.737 0.000
Tb 0.651 0.914 0.000

The symmetry is P-6, No. 174. Its final energy is -4.434 eV/atom.

***

# 5
# TmAlAsO

An optimized crystal structure of TmAlAsO (PBE, OQMD via LeMat-Bulk).

Unit cell a=3.772 b=5.569 c=6.649 alpha=90.00 beta=90.00 gamma=90.00
Fractional positions:
Al 0.000 0.151 0.436
Al 0.000 0.849 0.936
As 0.000 0.729 0.307
As 0.000 0.271 0.807
O 0.500 0.232 0.404
O 0.500 0.768 0.904
Tm 0.500 0.419 0.107
Tm 0.500 0.581 0.607

The symmetry is Pmc2_1, No. 26. Its final energy is -6.036 eV/atom.

***

# 6
# GdDy2Al3NiAg2

An optimized crystal structure of GdDy2Al3NiAg2 (PBE, OQMD via LeMat-Bulk).

Unit cell a=4.134 b=7.189 c=7.189 alpha=120.02 beta=90.00 gamma=90.00
Fractional positions:
Ag 0.500 0.669 0.333
Ag 0.500 0.333 0.669
Al 0.500 0.000 0.222
Al 0.500 0.777 0.777
Al 0.500 0.222 0.000
Dy 0.000 0.603 0.000
Dy 0.000 0.000 0.603
Gd 0.000 0.399 0.399
Ni 0.000 0.998 0.998

The symmetry is Amm2, No. 38. Its final energy is -4.524 eV/atom.

***

# 7
# GdHoAlCo2

An optimized crystal structure of GdHoAlCo2 (PBE, OQMD via LeMat-Bulk).

Unit cell a=5.374 b=5.374 c=5.374 alpha=135.93 beta=119.04 gamma=78.23
Fractional positions:
Al 0.000 0.000 0.000
Co 0.724 0.500 0.224
Co 0.276 0.500 0.776
Gd 0.704 0.204 0.500
Ho 0.296 0.796 0.500

The symmetry is Imm2, No. 44. Its final energy is -5.821 eV/atom.

***

# 8
# ErTlAsO

An optimized crystal structure of ErTlAsO (PBE, OQMD via LeMat-Bulk).

Unit cell a=3.555 b=9.125 c=5.962 alpha=90.00 beta=90.00 gamma=90.00
Fractional positions:
As 0.000 0.862 0.427
As 0.000 0.138 0.927
Er 0.000 0.173 0.432
Er 0.000 0.827 0.932
O 0.500 0.288 0.411
O 0.500 0.712 0.911
Tl 0.500 0.597 0.484
Tl 0.500 0.403 0.984

The symmetry is Pmc2_1, No. 26. Its final energy is -5.437 eV/atom.

***

# 9
# Er5CoTe3

An optimized crystal structure of Er5CoTe3 (PBE, OQMD via LeMat-Bulk).

Unit cell a=8.120 b=8.120 c=4.053 alpha=90.00 beta=90.00 gamma=120.00
Fractional positions:
Co 0.000 0.000 0.000
Er 0.672 0.000 0.000
Er 0.328 0.328 0.000
Er 0.000 0.672 0.000
Er 0.667 0.333 0.500
Er 0.333 0.667 0.500
Te 0.258 0.000 0.500
Te 0.000 0.258 0.500
Te 0.742 0.742 0.500

The symmetry is P-62m, No. 189. Its final energy is -4.839 eV/atom.

***

# 10
# Tb2Ga8Ni

An optimized crystal structure of Tb2Ga8Ni (PBE, OQMD via LeMat-Bulk).

Unit cell a=4.265 b=4.265 c=11.092 alpha=90.00 beta=90.00 gamma=90.00
Fractional positions:
Ga 0.500 0.000 0.118
Ga 0.000 0.500 0.118
Ga 0.500 0.500 0.302
Ga 0.500 0.000 0.500
Ga 0.000 0.500 0.500
Ga 0.500 0.500 0.698
Ga 0.500 0.000 0.882
Ga 0.000 0.500 0.882
Ni 0.000 0.000 0.000
Tb 0.000 0.000 0.307
Tb 0.000 0.000 0.693

The symmetry is P4/mmm, No. 123. Its final energy is -4.046 eV/atom.

***

# 11
# NaGdAsO

An optimized crystal structure of NaGdAsO (PBE, OQMD via LeMat-Bulk).

Unit cell a=3.570 b=8.183 c=6.160 alpha=90.00 beta=90.00 gamma=90.00
Fractional positions:
As 0.000 0.815 0.395
As 0.000 0.185 0.895
Gd 0.000 0.171 0.406
Gd 0.000 0.829 0.906
Na 0.500 0.451 0.068
Na 0.500 0.549 0.568
O 0.500 0.314 0.386
O 0.500 0.686 0.886

The symmetry is Pmc2_1, No. 26. Its final energy is -5.483 eV/atom.

***

# 12
# Sr2BiAu

An optimized crystal structure of Sr2BiAu (PBE, OQMD via LeMat-Bulk).

Unit cell a=5.581 b=5.581 c=4.036 alpha=90.00 beta=90.00 gamma=90.00
Fractional positions:
Au 0.000 0.000 0.000
Bi 0.500 0.500 0.000
Sr 0.500 0.000 0.500
Sr 0.000 0.500 0.500

The symmetry is P4/mmm, No. 123. Its final energy is -3.460 eV/atom.

***

Copy entry 9 word for word.
# Er5CoTe3

An optimized crystal structure of Er5CoTe3 (PBE, OQMD via LeMat-Bulk).

Unit cell a=8.120 b=8.120 c=4.053 alpha=90.00 beta=90.00 gamma=120.00
Fractional positions:
Co 0.000 0.000 0.000
Er 0.672 0.000 0.000
Er 0.328 0.328 0.000
Er 0.000 0.672 0.000
Er 0.667 0.333 0.500
Er 0.333 0.667 0.500
Te 0.258 0.000 0.500
Te 0.000 0.258 0.500
Te 0.742 0.742 0.500

The symmetry is P-62m, No. 189. Its final energy is -4.839 eV/atom.

***

Q: Which formula does entry 6 have?
A: GdDy2Al3NiAg2

***

Q: The highest final energy belongs to which entry?
A: Sr2BiAu